# 1
Here is a geometry-optimized Ba2CuMoO6 structure from Alexandria. Energies are from PBE with a Hubbard U.

Computed properties:
N(E_F) ... 16.7 states/eV/cell
Total moment ... 6.1 μB per cell
Calculated total energy ... -6.4295 eV/atom

a b c (Å): 5.8629 5.8629 28.7789
angles (deg): 90.00 90.00 120.00
Space group R-3m (No. 166, hexagonal axes)
Symmetry-distinct sites (fractional):
Ba: 0.0000 0.0000 0.1269 (multiplicity 6)
Ba: 0.0000 0.0000 0.2836 (multiplicity 6)
Cu: 0.0000 0.0000 0.4055 (multiplicity 6)
Mo: 0.0000 0.0000 0.0000 (multiplicity 3)
Mo: 0.0000 0.0000 0.5000 (multiplicity 3)
O: 0.0185 0.5093 0.7057 (multiplicity 18)
O: 0.0222 0.5111 0.1266 (multiplicity 18)



# 2
Here is a geometry-optimized BaCuMoO5 structure from Alexandria. Energies are from PBE with a Hubbard U.

Computed properties:
N(E_F) ... 13.0 states/eV/cell
Total moment ... 4.1 μB per cell
Calculated total energy ... -6.4037 eV/atom

a b c (Å): 6.739 9.739 7.547
angles (deg): 90.00 109.91 90.00
Space group C2/c (No. 15)
Symmetry-distinct sites (fractional):
Ba: 0.000 0.170 0.250 (multiplicity 4)
Cu: 0.000 0.182 0.750 (multiplicity 4)
Mo: 0.000 0.500 0.000 (multiplicity 4)
O: 0.000 0.447 0.250 (multiplicity 4)
O: 0.074 0.312 0.588 (multiplicity 8)
O: 0.205 0.052 0.923 (multiplicity 8)



# 3
Here is a geometry-optimized Ba3CuMo2O9 structure from Alexandria. Energies are from PBE with a Hubbard U.

Computed properties:
N(E_F) ... 3.1 states/eV/cell
Total moment ... 1.0 μB per cell
Calculated total energy ... -6.6425 eV/atom

a b c (Å): 5.8619 5.8619 7.1570
angles (deg): 90.00 90.00 120.00
Space group P-3m1 (No. 164)
Symmetry-distinct sites (fractional):
Ba: 0.0000 0.0000 0.0000 (multiplicity 1)
Ba: 0.3333 0.6667 0.6679 (multiplicity 2)
Cu: 0.0000 0.0000 0.5000 (multiplicity 1)
Mo: 0.3333 0.6667 0.1760 (multiplicity 2)
O: 0.0000 0.5000 0.0000 (multiplicity 3)
O: 0.1732 0.3464 0.3151 (multiplicity 6)



# 4
Here is a geometry-optimized BaCu2MoO structure from Alexandria. Energies are from PBE with a Hubbard U.

Computed properties:
N(E_F) ... 3.8 states/eV/cell
Total moment ... 3.4 μB per cell
Calculated total energy ... -4.1555 eV/atom

a b c (Å): 5.241 5.241 3.984
angles (deg): 90.00 90.00 90.00
Space group P4/mmm (No. 123)
Symmetry-distinct sites (fractional):
Ba: 0.000 0.000 0.000 (multiplicity 1)
Cu: 0.000 0.500 0.500 (multiplicity 2)
Mo: 0.500 0.500 0.000 (multiplicity 1)
O: 0.500 0.500 0.500 (multiplicity 1)



# 5
Here is a geometry-optimized BaYCuMoO5 structure from Alexandria. Energies are from PBE with a Hubbard U.

Computed properties:
N(E_F) ... 1.1 states/eV/cell
Total moment ... 2.5 μB per cell
Calculated total energy ... -7.0158 eV/atom

a b c (Å): 4.026 4.026 7.881
angles (deg): 90.00 90.00 90.00
Space group P4mm (No. 99)
Symmetry-distinct sites (fractional):
Ba: 0.000 0.000 0.000 (multiplicity 1)
Y: 0.000 0.000 0.445 (multiplicity 1)
Cu: 0.500 0.500 0.274 (multiplicity 1)
Mo: 0.500 0.500 0.689 (multiplicity 1)
O: 0.000 0.500 0.286 (multiplicity 2)
O: 0.000 0.500 0.647 (multiplicity 2)
O: 0.500 0.500 0.947 (multiplicity 1)



Which of these has the lowest calculated total energy?
BaYCuMoO5



Please write out number 3 again, unchanged.
Here is a geometry-optimized Ba3CuMo2O9 structure from Alexandria. Energies are from PBE with a Hubbard U.

Computed properties:
N(E_F) ... 3.1 states/eV/cell
Total moment ... 1.0 μB per cell
Calculated total energy ... -6.6425 eV/atom

a b c (Å): 5.8619 5.8619 7.1570
angles (deg): 90.00 90.00 120.00
Space group P-3m1 (No. 164)
Symmetry-distinct sites (fractional):
Ba: 0.0000 0.0000 0.0000 (multiplicity 1)
Ba: 0.3333 0.6667 0.6679 (multiplicity 2)
Cu: 0.0000 0.0000 0.5000 (multiplicity 1)
Mo: 0.3333 0.6667 0.1760 (multiplicity 2)
O: 0.0000 0.5000 0.0000 (multiplicity 3)
O: 0.1732 0.3464 0.3151 (multiplicity 6)